# 1
! NaCdFe3 PBE relaxed; values from VASP
! Uncorrected energy   -3.820 eV per atom
! Crystal system   cubic
! Energy above the most stable polymorph in this dataset   225 meV per atom
! Formation enthalpy at 0 K   1.70 eV per atom
&SYSTEM
  ibrav = 0, nat = 5, ntyp = 3
/
ATOMIC_SPECIES
Na 22.99 Na.upf
Fe 55.84 Fe.upf
Cd 112.41 Cd.upf
CELL_PARAMETERS angstrom
-4.417 -0.636 0.469
-0.201 -1.674 -4.159
0.765 -4.115 1.619
ATOMIC_POSITIONS angstrom
Na 0.000 0.000 0.000
Fe -0.100 -0.837 -2.080
Fe 0.382 -2.057 0.810
Fe -2.209 -0.318 0.235
Cd -1.927 -3.213 -1.035



# 2
! NaCd2FeNi PBE relaxed; values from VASP
! Uncorrected energy   -2.385 eV per atom
! Crystal system   tetragonal
! Formation enthalpy at 0 K   1.09 eV per atom
&SYSTEM
  ibrav = 0, nat = 5, ntyp = 4
/
ATOMIC_SPECIES
Fe 55.84 Fe.upf
Na 22.99 Na.upf
Cd 112.41 Cd.upf
Ni 58.69 Ni.upf
CELL_PARAMETERS angstrom
5.004 0.000 0.000
0.000 5.103 0.000
0.000 0.000 5.004
ATOMIC_POSITIONS angstrom
Fe 0.000 0.000 0.000
Na 0.000 2.552 0.000
Cd 0.000 0.000 2.502
Cd 2.502 0.000 0.000
Ni 2.502 2.552 2.502



Repeat the second record exactly.
! NaCd2FeNi PBE relaxed; values from VASP
! Uncorrected energy   -2.385 eV per atom
! Crystal system   tetragonal
! Formation enthalpy at 0 K   1.09 eV per atom
&SYSTEM
  ibrav = 0, nat = 5, ntyp = 4
/
ATOMIC_SPECIES
Fe 55.84 Fe.upf
Na 22.99 Na.upf
Cd 112.41 Cd.upf
Ni 58.69 Ni.upf
CELL_PARAMETERS angstrom
5.004 0.000 0.000
0.000 5.103 0.000
0.000 0.000 5.004
ATOMIC_POSITIONS angstrom
Fe 0.000 0.000 0.000
Na 0.000 2.552 0.000
Cd 0.000 0.000 2.502
Cd 2.502 0.000 0.000
Ni 2.502 2.552 2.502



Please write out number 1 again, unchanged.
! NaCdFe3 PBE relaxed; values from VASP
! Uncorrected energy   -3.820 eV per atom
! Crystal system   cubic
! Energy above the most stable polymorph in this dataset   225 meV per atom
! Formation enthalpy at 0 K   1.70 eV per atom
&SYSTEM
  ibrav = 0, nat = 5, ntyp = 3
/
ATOMIC_SPECIES
Na 22.99 Na.upf
Fe 55.84 Fe.upf
Cd 112.41 Cd.upf
CELL_PARAMETERS angstrom
-4.417 -0.636 0.469
-0.201 -1.674 -4.159
0.765 -4.115 1.619
ATOMIC_POSITIONS angstrom
Na 0.000 0.000 0.000
Fe -0.100 -0.837 -2.080
Fe 0.382 -2.057 0.810
Fe -2.209 -0.318 0.235
Cd -1.927 -3.213 -1.035



- formation enthalpy at 0 K of number 2 (NaCd2FeNi)?
  1.09 eV per atom